# 1
VASP calculation (PBE) on a relaxed Ti2AlTeRu crystal.

abc: 4.876 4.876 4.940
angles: 90.00 90.00 90.00
Space group P4/mmm (No. 123)
Unique sites:
Ti (0.000, 0.500, 0.000) x2
Al (0.000, 0.000, 0.500) x1
Te (0.000, 0.000, 0.000) x1
Ru (0.500, 0.500, 0.500) x1

E: -25.14 eV per formula unit
ΔE_f (raw): 1.36 eV per atom
DOS(E_F): 9.436 states/eV/f.u.


# 2
VASP calculation (PBE) on a relaxed Li3Br2Cl crystal.

abc: 7.095 12.294 7.044
angles: 90.00 109.38 90.00
Space group Cc (No. 9)
Unique sites:
Li (0.000, 0.075, 0.000) x4
Li (0.475, 0.085, 0.479) x4
Li (0.496, 0.258, 0.981) x4
Br (0.116, 0.247, 0.865) x4
Br (0.117, 0.417, 0.364) x4
Cl (0.116, 0.081, 0.364) x4

E: -20.75 eV per formula unit
ΔE_f (raw): -1.64 eV per atom
energy above the most stable polymorph in this dataset: 0 meV per atom
DOS(E_F): 0.000 states/eV/f.u.